Computed, not measured: an optimized crystal structure of Rb2TePtO6 at the PBE-GGA level of DFT.

abc: 5.9971 5.9971 29.5355
angles: 90.00 90.00 120.00
Space group R-3m (No. 166, hexagonal axes)
One atom of each set of equivalent atoms:
Rb 0.0000 0.0000 0.1251 x6
Rb 0.0000 0.0000 0.2846 x6
Te 0.0000 0.0000 0.0000 x3
Te 0.0000 0.0000 0.5000 x3
Pt 0.0000 0.0000 0.4066 x6
O 0.0244 0.5122 0.7076 x18
O 0.0468 0.5234 0.1225 x18

Computed properties:
E_form (uncorrected) = -9.74 eV/f.u.